No. 1
## Tc2NiCl (PBE)

Data for a relaxed structure of Tc2NiCl.

Results
Space group = Cmm2, No. 35
Excess energy over the best structure of this formula in the dataset = 0.234 eV per atom
Energy = -0.2430 hartree per atom

Unit cell a=2.8090 b=2.8090 c=8.3506 alpha=90.00 beta=90.00 gamma=117.68
Closest atoms and distances in Å follow each position.
Fractional coordinates of all 4 atoms:
Tc: 0.0000 0.0000 0.0000  2 Ni 2.54, 6 Tc 2.56-2.81
Tc: 0.5000 0.5000 0.2523  6 Tc 2.56-2.81, 2 Cl 2.67
Ni: 0.5000 0.5000 0.7509  2 Cl 2.41, 2 Tc 2.54
Cl: 0.0000 0.0000 0.5202  2 Ni 2.41, 2 Tc 2.67

---

No. 2
## NdDyLuAl (PBE)

Data for a relaxed structure of NdDyLuAl.

Results
Space group = F-43m, No. 216
Energy = -0.1648 hartree per atom

Unit cell a=5.3676 b=5.3676 c=5.3676 alpha=60.00 beta=60.00 gamma=60.00
Closest atoms and distances in Å follow each position.
Fractional coordinates of all 4 atoms:
Nd: 0.0000 0.0000 0.0000  4 Al 3.29, 4 Lu 3.29
Dy: 0.5000 0.5000 0.5000  4 Lu 3.29, 4 Al 3.29
Lu: 0.2500 0.2500 0.2500  4 Dy 3.29, 4 Nd 3.29
Al: 0.7500 0.7500 0.7500  4 Dy 3.29, 4 Nd 3.29

---

No. 3
## BaAgP2O8 (PBE)

Data for a relaxed structure of BaAgP2O8.

Results
Space group = P-3, No. 147
Energy = -0.2349 hartree per atom

Unit cell a=4.9910 b=4.9910 c=7.9524 alpha=90.00 beta=90.00 gamma=120.00
Closest atoms and distances in Å follow each position.
Fractional coordinates of all 12 atoms:
Ba: 0.0000 0.0000 0.0000  12 O 2.95-3.07
Ag: 0.0000 0.0000 0.5000  6 O 2.15
P: 0.3333 0.6667 0.7285  4 O 1.55-1.56
P: 0.6667 0.3333 0.2715  4 O 1.55-1.56
O: 0.0508 0.3527 0.6737  1 P 1.56
O: 0.3019 0.9492 0.6737  1 P 1.56
O: 0.3333 0.6667 0.9229  1 P 1.55
O: 0.3527 0.3019 0.3263  1 P 1.56
O: 0.6473 0.6981 0.6737  1 P 1.56
O: 0.6667 0.3333 0.0771  1 P 1.55
O: 0.6981 0.0508 0.3263  1 P 1.56
O: 0.9492 0.6473 0.3263  1 P 1.56

---

No. 4
## K4InBr8 (PBE)

Data for a relaxed structure of K4InBr8.

Results
Space group = I4/mmm, No. 139
Energy = -0.1006 hartree per atom

Unit cell a=8.8366 b=8.8366 c=8.8366 alpha=103.37 beta=103.37 gamma=122.52
Closest atoms and distances in Å follow each position.
Fractional coordinates of all 13 atoms:
K: 0.0000 0.0000 0.5000  8 Br 3.47
K: 0.0000 0.5000 0.0000  8 Br 3.47
K: 0.5000 0.0000 0.0000  8 Br 3.47
K: 0.5000 0.5000 0.5000  8 Br 3.47
In: 0.0000 0.0000 0.0000  4 Br 2.60
Br: 0.0000 0.2376 0.2376  1 In 2.60
Br: 0.0000 0.7624 0.7624  1 In 2.60
Br: 0.2376 0.0000 0.2376  1 In 2.60
Br: 0.2494 0.5000 0.7494  4 K 3.47
Br: 0.5000 0.2494 0.7494  4 K 3.47
Br: 0.5000 0.7506 0.2506  4 K 3.47
Br: 0.7506 0.5000 0.2506  4 K 3.47
Br: 0.7624 0.0000 0.7624  1 In 2.60

---

No. 5
## Hf6Os3O (PBE)

Data for a relaxed structure of Hf6Os3O.

Results
Space group = P2_1/c, No. 14
Energy = -0.3875 hartree per atom

Unit cell a=5.7250 b=7.1039 c=10.3605 alpha=90.00 beta=119.46 gamma=90.00
Closest atoms and distances in Å follow each position.
Fractional coordinates of all 20 atoms:
Hf: 0.0816 0.0537 0.2419  1 O 2.34, 1 Os 2.60
Hf: 0.0816 0.4463 0.7419  1 O 2.34, 1 Os 2.60
Hf: 0.2009 0.7063 0.0664  1 O 2.32, 1 Os 2.59
Hf: 0.2009 0.7937 0.5664  1 O 2.32, 1 Os 2.59
Hf: 0.3876 0.1494 0.0524  1 O 2.27
Hf: 0.3876 0.3506 0.5524  1 O 2.27
Hf: 0.6124 0.6494 0.4476  1 O 2.27
Hf: 0.6124 0.8506 0.9476  1 O 2.27
Hf: 0.7991 0.2063 0.4336  1 O 2.32, 1 Os 2.59
Hf: 0.7991 0.2937 0.9336  1 O 2.32, 1 Os 2.59
Hf: 0.9184 0.5537 0.2581  1 O 2.34, 1 Os 2.60
Hf: 0.9184 0.9463 0.7581  1 O 2.34, 1 Os 2.60
Os: 0.3215 0.1064 0.7319  6 Hf 2.68-2.83
Os: 0.3215 0.3936 0.2319  6 Hf 2.68-2.83
Os: 0.5000 0.0000 0.5000  6 Hf 2.59-2.69
Os: 0.5000 0.5000 0.0000  6 Hf 2.59-2.69
Os: 0.6785 0.6064 0.7681  6 Hf 2.68-2.83
Os: 0.6785 0.8936 0.2681  6 Hf 2.68-2.83
O: 0.0000 0.0000 0.0000  6 Hf 2.27-2.34
O: 0.0000 0.5000 0.5000  6 Hf 2.27-2.34

---

No. 6
## TiFeNiPt (PBE)

Data for a relaxed structure of TiFeNiPt.

Results
Space group = Pmmm, No. 47
Excess energy over the best structure of this formula in the dataset = 0.000 eV per atom
Energy = -0.2792 hartree per atom

Unit cell a=3.7117 b=3.7301 c=3.8237 alpha=90.00 beta=90.00 gamma=90.00
Closest atoms and distances in Å follow each position.
Fractional coordinates of all 4 atoms:
Ti: 0.0000 0.0000 0.0000  4 Fe 2.63, 4 Ni 2.66, 4 Pt 2.67
Fe: 0.5000 0.5000 0.0000  4 Ti 2.63, 4 Pt 2.66, 4 Ni 2.67
Ni: 0.5000 0.0000 0.5000  4 Pt 2.63, 4 Ti 2.66, 4 Fe 2.67
Pt: 0.0000 0.5000 0.5000  4 Ni 2.63, 4 Fe 2.66, 4 Ti 2.67

---

No. 7
## Rb2AcDyS4 (PBE)

Data for a relaxed structure of Rb2AcDyS4.

Results
Space group = P2/m, No. 10
Energy = -0.1925 hartree per atom

Unit cell a=7.4085 b=4.2729 c=8.1021 alpha=90.00 beta=107.61 gamma=90.00
Closest atoms and distances in Å follow each position.
Fractional coordinates of all 8 atoms:
Rb: 0.0000 0.0000 0.0000  6 S 3.47-3.48
Rb: 0.5000 0.5000 0.0000  6 S 3.33-3.34
Ac: 0.0000 0.5000 0.5000  6 S 2.97-2.98
Dy: 0.5000 0.0000 0.5000  6 S 2.79-2.84
S: 0.2522 0.0000 0.7001  1 Dy 2.79, 2 Ac 2.97
S: 0.2848 0.5000 0.3066  2 Dy 2.84, 1 Ac 2.98
S: 0.7152 0.5000 0.6934  2 Dy 2.84, 1 Ac 2.98
S: 0.7478 0.0000 0.2999  1 Dy 2.79, 2 Ac 2.97

---

No. 8
## NiSbOs (PBE)

Data for a relaxed structure of NiSbOs.

Results
Space group = Imm2, No. 44
Excess energy over the best structure of this formula in the dataset = 0.120 eV per atom
Energy = -0.2426 hartree per atom

Unit cell a=4.7132 b=4.7132 c=4.7132 alpha=141.78 beta=133.18 gamma=61.96
Closest atoms and distances in Å follow each position.
Fractional coordinates of all 3 atoms:
Ni: 0.0000 0.0000 0.0000  5 Sb 2.62-2.81, 5 Os 2.73-2.80
Sb: 0.3239 0.3239 0.0000  5 Ni 2.62-2.81, 5 Os 2.67-2.79
Os: 0.6538 0.6538 0.0000  5 Sb 2.67-2.79, 5 Ni 2.73-2.80

---

No. 9
## PrThSe3 (PBE)

Data for a relaxed structure of PrThSe3.

Results
Space group = C2/m, No. 12
Excess energy over the best structure of this formula in the dataset = 0.254 eV per atom
Energy = -0.2237 hartree per atom

Unit cell a=8.4648 b=8.4648 c=8.4418 alpha=95.26 beta=95.26 gamma=34.05
Closest atoms and distances in Å follow each position.
Fractional coordinates of all 10 atoms:
Pr: 0.1492 0.1492 0.3706  6 Se 2.95-3.15
Pr: 0.8508 0.8508 0.6294  6 Se 2.95-3.15
Th: 0.3794 0.3794 0.0825  6 Se 2.83-3.13
Th: 0.6206 0.6206 0.9175  6 Se 2.83-3.13
Se: 0.1853 0.1853 0.0346  3 Th 2.83-3.13, 1 Pr 2.95
Se: 0.3328 0.3328 0.4097  1 Th 2.93, 3 Pr 2.96-3.09
Se: 0.4529 0.4529 0.7715  2 Th 2.87-2.98, 2 Pr 3.15
Se: 0.5471 0.5471 0.2285  2 Th 2.87-2.98, 2 Pr 3.15
Se: 0.6672 0.6672 0.5903  1 Th 2.93, 3 Pr 2.96-3.09
Se: 0.8147 0.8147 0.9654  3 Th 2.83-3.13, 1 Pr 2.95

---

No. 10
## YAlBr (PBE)

Data for a relaxed structure of YAlBr.

Results
Space group = C2/m, No. 12
Energy = -0.1851 hartree per atom

Unit cell a=4.2174 b=4.2174 c=11.7287 alpha=100.56 beta=100.56 gamma=60.01
Closest atoms and distances in Å follow each position.
Fractional coordinates of all 6 atoms:
Y: 0.0616 0.0616 0.1811  3 Br 2.98-2.99, 3 Al 3.06
Y: 0.9384 0.9384 0.8189  3 Br 2.98-2.99, 3 Al 3.06
Al: 0.3398 0.3398 0.0192  3 Al 2.47
Al: 0.6602 0.6602 0.9808  3 Al 2.47
Br: 0.2204 0.2204 0.6682  3 Y 2.98-2.99
Br: 0.7796 0.7796 0.3318  3 Y 2.98-2.99